Below is crystalline SrCaDyMnO6 at its relaxed geometry, with properties calculated at the PBE+U level.

Values from the calculation:
E, eV per atom: -6.921
Magnetization, μB per formula unit: 3.946

POSCAR file:
```
SrCaDyMnO6
1.0
0.0000 4.0820 4.0820
4.0820 0.0000 4.0820
4.0820 4.0820 0.0000
Sr Ca Dy Mn O
1 1 1 1 6
Cartesian
0.0000 0.0000 0.0000
4.0820 4.0820 4.0820
6.1230 6.1230 6.1230
2.0410 2.0410 2.0410
2.0410 2.0410 0.1439
2.0410 0.1439 2.0410
3.9381 2.0410 2.0410
0.1439 2.0410 2.0410
2.0410 3.9381 2.0410
2.0410 2.0410 3.9381
```